Density functional theory data (PBE-GGA) for Hf2Zr7Sc2 after structural relaxation.

CIF file:
```
data_Hf2Zr7Sc2
_chemical_formula_sum 'Hf2 Zr7 Sc2'
_cell_length_a 6.284
_cell_length_b 7.434
_cell_length_c 6.284
_cell_angle_alpha 90.00
_cell_angle_beta 111.93
_cell_angle_gamma 90.00
_symmetry_space_group_name_H-M 'P 1'
_symmetry_Int_Tables_number 1
loop_
_symmetry_equiv_pos_as_xyz
'x,y,z'
loop_
_atom_site_label
_atom_site_type_symbol
_atom_site_fract_x
_atom_site_fract_y
_atom_site_fract_z
Hf1 Hf 0.676 0.000 0.324
Hf2 Hf 0.324 0.000 0.676
Zr1 Zr 0.000 0.295 0.500
Zr2 Zr 0.500 0.705 0.000
Zr3 Zr 0.000 0.705 0.500
Zr4 Zr 0.500 0.295 0.000
Zr5 Zr 0.000 0.000 0.000
Zr6 Zr 0.500 0.703 0.500
Zr7 Zr 0.500 0.297 0.500
Sc1 Sc 0.831 0.500 0.831
Sc2 Sc 0.169 0.500 0.169
```

## Properties
ΔH_f (0 K) in kJ per mole of atoms: 57.2
Crystal system: orthorhombic
Mass density in kg/m³: 6618
Total DFT energy (no corrections) in eV/atom: -7.807



Density functional theory data (PBE-GGA) for Hf3ZrSc after structural relaxation.

CIF file:
```
data_Hf3ZrSc
_chemical_formula_sum 'Hf3 Zr1 Sc1'
_cell_length_a 5.981
_cell_length_b 5.981
_cell_length_c 5.981
_cell_angle_alpha 57.66
_cell_angle_beta 57.66
_cell_angle_gamma 57.66
_symmetry_space_group_name_H-M 'P 1'
_symmetry_Int_Tables_number 1
loop_
_symmetry_equiv_pos_as_xyz
'x,y,z'
loop_
_atom_site_label
_atom_site_type_symbol
_atom_site_fract_x
_atom_site_fract_y
_atom_site_fract_z
Hf1 Hf 0.588 0.588 0.077
Hf2 Hf 0.588 0.077 0.588
Hf3 Hf 0.077 0.588 0.588
Zr1 Zr 0.965 0.965 0.965
Sc1 Sc 0.589 0.589 0.589
```

## Properties
ΔH_f (0 K) in kJ per mole of atoms: 96.4
Crystal system: trigonal
Mass density in kg/m³: 7792
Total DFT energy (no corrections) in eV/atom: -7.949



Density functional theory data (PBE-GGA) for Hf3Zr6Sc2 after structural relaxation.

CIF file:
```
data_Hf3Zr6Sc2
_chemical_formula_sum 'Hf3 Zr6 Sc2'
_cell_length_a 3.176
_cell_length_b 9.565
_cell_length_c 9.565
_cell_angle_alpha 102.06
_cell_angle_beta 90.00
_cell_angle_gamma 90.00
_symmetry_space_group_name_H-M 'P 1'
_symmetry_Int_Tables_number 1
loop_
_symmetry_equiv_pos_as_xyz
'x,y,z'
loop_
_atom_site_label
_atom_site_type_symbol
_atom_site_fract_x
_atom_site_fract_y
_atom_site_fract_z
Hf1 Hf 0.000 0.195 0.195
Hf2 Hf 0.000 0.805 0.805
Hf3 Hf 0.500 0.000 0.000
Zr1 Zr 0.500 0.393 0.393
Zr2 Zr 0.500 0.607 0.607
Zr3 Zr 0.500 0.044 0.374
Zr4 Zr 0.500 0.956 0.626
Zr5 Zr 0.500 0.374 0.044
Zr6 Zr 0.500 0.626 0.956
Sc1 Sc 0.000 0.314 0.686
Sc2 Sc 0.000 0.686 0.314
```

## Properties
ΔH_f (0 K) in kJ per mole of atoms: 49.4
Crystal system: orthorhombic
Mass density in kg/m³: 6853
Total DFT energy (no corrections) in eV/atom: -8.017



Density functional theory data (PBE-GGA) for HfZr2Sc4 after structural relaxation.

CIF file:
```
data_HfZr2Sc4
_chemical_formula_sum 'Hf2 Zr4 Sc8'
_cell_length_a 4.993
_cell_length_b 5.026
_cell_length_c 15.228
_cell_angle_alpha 90.00
_cell_angle_beta 90.00
_cell_angle_gamma 119.78
_symmetry_space_group_name_H-M 'P 1'
_symmetry_Int_Tables_number 1
loop_
_symmetry_equiv_pos_as_xyz
'x,y,z'
loop_
_atom_site_label
_atom_site_type_symbol
_atom_site_fract_x
_atom_site_fract_y
_atom_site_fract_z
Hf1 Hf 0.499 0.998 0.750
Hf2 Hf 0.501 0.002 0.250
Zr1 Zr 0.169 0.339 0.448
Zr2 Zr 0.831 0.661 0.948
Zr3 Zr 0.169 0.339 0.052
Zr4 Zr 0.831 0.661 0.552
Sc1 Sc 0.835 0.671 0.147
Sc2 Sc 0.835 0.671 0.353
Sc3 Sc 0.165 0.329 0.853
Sc4 Sc 0.165 0.329 0.647
Sc5 Sc 0.832 0.663 0.750
Sc6 Sc 0.168 0.337 0.250
Sc7 Sc 0.500 0.000 0.000
Sc8 Sc 0.500 0.000 0.500
```

## Properties
ΔH_f (0 K) in kJ per mole of atoms: 21.0
Crystal system: orthorhombic
Mass density in kg/m³: 5415
Total DFT energy (no corrections) in eV/atom: -7.264



Density functional theory data (PBE-GGA) for HfZr2Sc9 after structural relaxation.

CIF file:
```
data_HfZr2Sc9
_chemical_formula_sum 'Hf1 Zr2 Sc9'
_cell_length_a 4.555
_cell_length_b 4.555
_cell_length_c 13.681
_cell_angle_alpha 90.00
_cell_angle_beta 90.00
_cell_angle_gamma 90.00
_symmetry_space_group_name_H-M 'P 1'
_symmetry_Int_Tables_number 1
loop_
_symmetry_equiv_pos_as_xyz
'x,y,z'
loop_
_atom_site_label
_atom_site_type_symbol
_atom_site_fract_x
_atom_site_fract_y
_atom_site_fract_z
Hf1 Hf 0.000 0.000 0.000
Zr1 Zr 0.000 0.000 0.333
Zr2 Zr 0.000 0.000 0.667
Sc1 Sc 0.500 0.500 0.000
Sc2 Sc 0.500 0.500 0.333
Sc3 Sc 0.500 0.500 0.667
Sc4 Sc 0.500 0.000 0.166
Sc5 Sc 0.500 0.000 0.500
Sc6 Sc 0.500 0.000 0.834
Sc7 Sc 0.000 0.500 0.166
Sc8 Sc 0.000 0.500 0.500
Sc9 Sc 0.000 0.500 0.834
```

## Properties
ΔH_f (0 K) in kJ per mole of atoms: 4.7
Crystal system: tetragonal
Mass density in kg/m³: 4478
Total DFT energy (no corrections) in eV/atom: -6.954



Density functional theory data (PBE-GGA) for Hf3ZrSc after structural relaxation.

CIF file:
```
data_Hf3ZrSc
_chemical_formula_sum 'Hf3 Zr1 Sc1'
_cell_length_a 5.128
_cell_length_b 5.128
_cell_length_c 5.128
_cell_angle_alpha 90.00
_cell_angle_beta 90.00
_cell_angle_gamma 90.00
_symmetry_space_group_name_H-M 'P 1'
_symmetry_Int_Tables_number 1
loop_
_symmetry_equiv_pos_as_xyz
'x,y,z'
loop_
_atom_site_label
_atom_site_type_symbol
_atom_site_fract_x
_atom_site_fract_y
_atom_site_fract_z
Sc1 Sc 0.500 0.500 0.500
Hf1 Hf 0.000 0.500 0.000
Hf2 Hf 0.000 0.000 0.500
Hf3 Hf 0.500 0.000 0.000
Zr1 Zr 0.000 0.000 0.000
```

## Properties
ΔH_f (0 K) in kJ per mole of atoms: 100.6
Crystal system: cubic
Mass density in kg/m³: 8270
Total DFT energy (no corrections) in eV/atom: -7.906



Density functional theory data (PBE-GGA) for HfZr2Sc after structural relaxation.

CIF file:
```
data_HfZr2Sc
_chemical_formula_sum 'Hf1 Zr2 Sc1'
_cell_length_a 4.498
_cell_length_b 4.525
_cell_length_c 4.525
_cell_angle_alpha 90.00
_cell_angle_beta 90.00
_cell_angle_gamma 90.00
_symmetry_space_group_name_H-M 'P 1'
_symmetry_Int_Tables_number 1
loop_
_symmetry_equiv_pos_as_xyz
'x,y,z'
loop_
_atom_site_label
_atom_site_type_symbol
_atom_site_fract_x
_atom_site_fract_y
_atom_site_fract_z
Sc1 Sc 0.500 0.000 0.000
Hf1 Hf 0.500 0.500 0.500
Zr1 Zr 0.000 0.000 0.500
Zr2 Zr 0.000 0.500 0.000
```

## Properties
ΔH_f (0 K) in kJ per mole of atoms: 3.8
Crystal system: tetragonal
Mass density in kg/m³: 7320
Total DFT energy (no corrections) in eV/atom: -8.306



Density functional theory data (PBE-GGA) for Hf3Zr4Sc2 after structural relaxation.

CIF file:
```
data_Hf3Zr4Sc2
_chemical_formula_sum 'Hf6 Zr8 Sc4'
_cell_length_a 6.272
_cell_length_b 8.736
_cell_length_c 8.426
_cell_angle_alpha 90.00
_cell_angle_beta 111.85
_cell_angle_gamma 90.00
_symmetry_space_group_name_H-M 'P 1'
_symmetry_Int_Tables_number 1
loop_
_symmetry_equiv_pos_as_xyz
'x,y,z'
loop_
_atom_site_label
_atom_site_type_symbol
_atom_site_fract_x
_atom_site_fract_y
_atom_site_fract_z
Hf1 Hf 0.000 0.000 0.000
Hf2 Hf 0.500 0.500 0.000
Hf3 Hf 0.946 0.250 0.392
Hf4 Hf 0.554 0.750 0.608
Hf5 Hf 0.054 0.750 0.608
Hf6 Hf 0.446 0.250 0.392
Zr1 Zr 0.761 0.250 0.022
Zr2 Zr 0.739 0.750 0.978
Zr3 Zr 0.239 0.750 0.978
Zr4 Zr 0.261 0.250 0.022
Zr5 Zr 0.177 0.921 0.354
Zr6 Zr 0.323 0.421 0.646
Zr7 Zr 0.677 0.579 0.354
Zr8 Zr 0.823 0.079 0.646
Sc1 Sc 0.128 0.543 0.255
Sc2 Sc 0.372 0.043 0.745
Sc3 Sc 0.628 0.957 0.255
Sc4 Sc 0.872 0.457 0.745
```

## Properties
ΔH_f (0 K) in kJ per mole of atoms: 26.7
Crystal system: orthorhombic
Mass density in kg/m³: 7675
Total DFT energy (no corrections) in eV/atom: -8.247



Density functional theory data (PBE-GGA) for Hf3ZrSc3 after structural relaxation.

CIF file:
```
data_Hf3ZrSc3
_chemical_formula_sum 'Hf3 Zr1 Sc3'
_cell_length_a 5.561
_cell_length_b 7.796
_cell_length_c 5.561
_cell_angle_alpha 117.86
_cell_angle_beta 99.93
_cell_angle_gamma 117.86
_symmetry_space_group_name_H-M 'P 1'
_symmetry_Int_Tables_number 1
loop_
_symmetry_equiv_pos_as_xyz
'x,y,z'
loop_
_atom_site_label
_atom_site_type_symbol
_atom_site_fract_x
_atom_site_fract_y
_atom_site_fract_z
Hf1 Hf 0.368 0.502 0.000
Hf2 Hf 0.632 0.134 0.632
Hf3 Hf 0.000 0.502 0.368
Zr1 Zr 0.000 0.699 0.000
Sc1 Sc 0.624 0.937 0.000
Sc2 Sc 0.376 0.313 0.376
Sc3 Sc 0.000 0.937 0.624
```

## Properties
ΔH_f (0 K) in kJ per mole of atoms: 18.2
Crystal system: trigonal
Mass density in kg/m³: 7748
Total DFT energy (no corrections) in eV/atom: -8.012



Density functional theory data (PBE-GGA) for Hf3ZrSc4 after structural relaxation.

CIF file:
```
data_Hf3ZrSc4
_chemical_formula_sum 'Hf3 Zr1 Sc4'
_cell_length_a 3.217
_cell_length_b 13.368
_cell_length_c 5.572
_cell_angle_alpha 102.01
_cell_angle_beta 89.99
_cell_angle_gamma 53.01
_symmetry_space_group_name_H-M 'P 1'
_symmetry_Int_Tables_number 1
loop_
_symmetry_equiv_pos_as_xyz
'x,y,z'
loop_
_atom_site_label
_atom_site_type_symbol
_atom_site_fract_x
_atom_site_fract_y
_atom_site_fract_z
Sc1 Sc 0.775 0.249 0.853
Sc2 Sc 0.271 0.250 0.354
Sc3 Sc 0.517 0.751 0.439
Sc4 Sc 0.021 0.750 0.938
Hf1 Hf 0.897 0.999 0.894
Hf2 Hf 0.394 0.001 0.398
Hf3 Hf 0.146 0.500 0.646
Zr1 Zr 0.646 0.500 0.146
```

## Properties
ΔH_f (0 K) in kJ per mole of atoms: 3.2
Crystal system: monoclinic
Mass density in kg/m³: 7248
Total DFT energy (no corrections) in eV/atom: -7.934



Density functional theory data (PBE-GGA) for Hf3Zr4Sc after structural relaxation.

CIF file:
```
data_Hf3Zr4Sc
_chemical_formula_sum 'Hf3 Zr4 Sc1'
_cell_length_a 3.015
_cell_length_b 7.968
_cell_length_c 7.968
_cell_angle_alpha 98.28
_cell_angle_beta 90.00
_cell_angle_gamma 90.00
_symmetry_space_group_name_H-M 'P 1'
_symmetry_Int_Tables_number 1
loop_
_symmetry_equiv_pos_as_xyz
'x,y,z'
loop_
_atom_site_label
_atom_site_type_symbol
_atom_site_fract_x
_atom_site_fract_y
_atom_site_fract_z
Hf1 Hf 0.000 0.000 0.500
Hf2 Hf 0.500 0.500 0.500
Hf3 Hf 0.000 0.500 0.000
Zr1 Zr 0.000 0.745 0.745
Zr2 Zr 0.500 0.250 0.750
Zr3 Zr 0.000 0.255 0.255
Zr4 Zr 0.500 0.750 0.250
Sc1 Sc 0.500 0.000 0.000
```

## Properties
ΔH_f (0 K) in kJ per mole of atoms: 40.0
Crystal system: orthorhombic
Mass density in kg/m³: 8288
Total DFT energy (no corrections) in eV/atom: -8.383



Density functional theory data (PBE-GGA) for Hf2Zr2Sc7 after structural relaxation.

CIF file:
```
data_Hf2Zr2Sc7
_chemical_formula_sum 'Hf2 Zr2 Sc7'
_cell_length_a 3.225
_cell_length_b 10.567
_cell_length_c 10.567
_cell_angle_alpha 52.29
_cell_angle_beta 72.24
_cell_angle_gamma 72.24
_symmetry_space_group_name_H-M 'P 1'
_symmetry_Int_Tables_number 1
loop_
_symmetry_equiv_pos_as_xyz
'x,y,z'
loop_
_atom_site_label
_atom_site_type_symbol
_atom_site_fract_x
_atom_site_fract_y
_atom_site_fract_z
Hf1 Hf 0.500 0.274 0.726
Hf2 Hf 0.500 0.726 0.274
Zr1 Zr 0.050 0.725 0.725
Zr2 Zr 0.950 0.275 0.275
Sc1 Sc 0.322 0.633 0.045
Sc2 Sc 0.678 0.955 0.367
Sc3 Sc 0.678 0.367 0.955
Sc4 Sc 0.322 0.045 0.633
Sc5 Sc 0.167 0.416 0.416
Sc6 Sc 0.000 0.000 0.000
Sc7 Sc 0.833 0.584 0.584
```

## Properties
ΔH_f (0 K) in kJ per mole of atoms: 14.6
Crystal system: orthorhombic
Mass density in kg/m³: 5295
Total DFT energy (no corrections) in eV/atom: -7.242



| no. | DOS(E_F) (states/eV/atom) |
| --- | --- |
| 1 | 1.194 |
| 2 | 1.934 |
| 3 | 1.488 |
| 4 | 2.099 |
| 5 | 1.791 |
| 6 | 1.842 |
| 7 | 1.447 |
| 8 | 1.018 |
| 9 | 1.419 |
| 10 | 1.613 |
| 11 | 1.076 |
| 12 | 1.310 |